VASP calculation (GGA-PBE) on a relaxed structure of PrPbC.

abc: 3.917 3.904 11.572
angles: 91.69 101.27 60.00
Fractional positions:
Pb (0.044, 0.114, 0.112)
Pb (0.562, 0.419, 0.322)
Pr (0.421, 0.048, 0.560)
Pr (0.504, 0.834, 0.862)
C (0.852, 0.356, 0.684)
C (0.755, 0.181, 0.760)

Properties
Energy   -5.973 eV per atom
Mass density   7982 kg/m³
E_form   -0.07 eV/atom